# SmV2MoO8

An optimized crystal structure of SmV2MoO8 (PBE+U, Alexandria).

a = 5.8277 Å, b = 5.8277 Å, c = 6.3067 Å
α = 90.00°, β = 90.00°, γ = 120.00°
With the nearest neighbours (Å) after each atom.
Element x y z (fractional)
1 O 0.3238 0.1619 0.2671  1 V 1.80
2 O 0.6667 0.3333 0.6053  1 V 1.63
3 O 0.6762 0.8381 0.7329  1 V 1.80
4 O 0.8381 0.6762 0.2671  1 V 1.80
5 O 0.3333 0.6667 0.3947  1 V 1.63
6 O 0.1619 0.3238 0.7329  1 V 1.80
7 O 0.8381 0.1619 0.2671  1 V 1.80
8 O 0.1619 0.8381 0.7329  1 V 1.80
9 V 0.6667 0.3333 0.3476  4 O 1.63-1.80
10 V 0.3333 0.6667 0.6524  4 O 1.63-1.80
11 Sm 0.0000 0.0000 0.0000  6 O 2.35
12 Mo 0.0000 0.0000 0.5000  6 O 2.20

Results
Total magnetic moment: 0.2500 μB/atom
Crystal system: trigonal
Total DFT energy (no corrections): -7.66 eV per atom
Density of states at the Fermi level: 0.00 states/eV/cell